[1]
The following is a DFT calculation (PBE) of a geometry-optimized LiAuSe2 structure.

Cell: 7.144 7.144 4.312 Å, 89.89 89.89 22.88°
Sites, in units of the cell vectors:
Au: 0.532 0.532 0.624
Se: 0.958 0.958 0.124
Se: 0.725 0.725 0.626
Li: 0.285 0.285 0.126

DOS at the Fermi energy = 0.287 states/eV per atom
DFT total energy = -0.1235 hartree per atom
Density = 7.0 g cm⁻³
SG = Cm (8)
Volume = 86 Å³ per cell

[2]
The following is a DFT calculation (PBE) of a geometry-optimized SrTa2Pt structure.

Cell: 6.066 6.066 6.066 Å, 151.17 126.12 62.26°
Sites, in units of the cell vectors:
Pt: 0.530 0.530 0.000
Ta: 0.742 0.242 0.500
Ta: 0.964 0.964 0.000
Sr: 0.263 0.763 0.500

DOS at the Fermi energy = 0.762 states/eV per atom
DFT total energy = -0.2730 hartree per atom
Density = 12.4 g cm⁻³
E_form = 0.43 eV/atom
E above lowest polymorph = 374 meV/atom
SG = Imm2 (44)
Volume = 86 Å³ per cell

[3]
The following is a DFT calculation (PBE) of a geometry-optimized La5Pr4Sm structure.

Cell: 3.669 11.385 14.653 Å, 141.33 97.19 90.00°
Sites, in units of the cell vectors:
La: 0.500 0.500 0.000
La: 0.174 0.789 0.348
La: 0.826 0.597 0.652
La: 0.826 0.211 0.652
La: 0.174 0.403 0.348
Pr: 0.651 0.052 0.303
Pr: 0.349 0.948 0.697
Pr: 0.029 0.306 0.058
Pr: 0.971 0.694 0.942
Sm: 0.500 0.000 0.000

DOS at the Fermi energy = 1.542 states/eV per atom
DFT total energy = -0.1728 hartree per atom
Density = 6.2 g cm⁻³
E_form = 0.15 eV/atom
E above lowest polymorph = 0 meV/atom
SG = C2/m (12)
Volume = 375 Å³ per cell

[4]
The following is a DFT calculation (PBE) of a geometry-optimized TmScCoAu structure.

Cell: 4.755 4.755 4.755 Å, 60.00 60.00 60.00°
Site moments in Bohr magnetons follow the coordinates.
Sites, in units of the cell vectors:
Co: 0.500 0.500 0.500  0.69
Tm: 0.250 0.250 0.250  -0.10
Sc: 0.750 0.750 0.750  -0.09
Au: 0.000 0.000 0.000  0.00

DOS at the Fermi energy = 0.727 states/eV per atom
DFT total energy = -0.2126 hartree per atom
Density = 10.3 g cm⁻³
E_form = -0.49 eV/atom
SG = F-43m (216)
Volume = 76 Å³ per cell

[5]
The following is a DFT calculation (PBE) of a geometry-optimized Ac3Ge2Pt7 structure.

Cell: 4.272 4.272 15.501 Å, 97.91 98.01 90.05°
Sites, in units of the cell vectors:
Pt: 0.119 0.622 0.242
Pt: 0.381 0.879 0.758
Pt: 0.881 0.378 0.758
Pt: 0.813 0.811 0.624
Pt: 0.187 0.189 0.376
Pt: 0.000 0.000 0.000
Pt: 0.619 0.121 0.242
Ge: 0.921 0.919 0.840
Ge: 0.079 0.081 0.160
Ac: 0.298 0.297 0.595
Ac: 0.702 0.703 0.405
Ac: 0.500 0.500 0.000

DOS at the Fermi energy = 0.464 states/eV per atom
DFT total energy = -0.2268 hartree per atom
Density = 13.1 g cm⁻³
E_form = -0.85 eV/atom
SG = P-1 (2)
Volume = 277 Å³ per cell

[6]
The following is a DFT calculation (PBE) of a geometry-optimized PaP2N4 structure.

Cell: 6.071 6.864 5.396 Å, 79.63 55.77 63.75°
Site moments in Bohr magnetons follow the coordinates.
Sites, in units of the cell vectors:
Pa: 0.758 0.500 0.500  0.71
Pa: 0.007 0.000 0.000  1.04
N: 0.684 0.136 0.581  -0.01
N: 0.401 0.864 0.419  -0.01
N: 0.174 0.257 0.639  0.00
N: 0.070 0.743 0.361  0.00
N: 0.542 0.793 0.864  -0.01
N: 0.198 0.207 0.136  -0.01
N: 0.657 0.454 0.175  -0.02
N: 0.286 0.546 0.825  -0.02
P: 0.810 0.893 0.708  0.01
P: 0.411 0.107 0.292  0.01
P: 0.327 0.306 0.793  0.01
P: 0.426 0.694 0.207  0.01

DOS at the Fermi energy = 0.505 states/eV per atom
DFT total energy = -0.3045 hartree per atom
Density = 7.0 g cm⁻³
SG = C2 (5)
Volume = 166 Å³ per cell

[7]
The following is a DFT calculation (PBE) of a geometry-optimized Pb3S3Cl structure.

Cell: 8.949 8.949 7.708 Å, 54.51 54.51 60.00°
Sites, in units of the cell vectors:
Pb: 0.942 0.249 0.233
Pb: 0.751 0.425 0.767
Pb: 0.575 0.942 0.233
Pb: 0.058 0.751 0.767
Pb: 0.249 0.575 0.233
Pb: 0.425 0.058 0.767
S: 0.630 0.201 0.275
S: 0.201 0.894 0.275
S: 0.370 0.799 0.725
S: 0.106 0.370 0.725
S: 0.894 0.630 0.275
S: 0.799 0.106 0.725
Cl: 0.323 0.323 0.030
Cl: 0.677 0.677 0.970

DOS at the Fermi energy = 0.620 states/eV per atom
DFT total energy = -0.1511 hartree per atom
Density = 6.3 g cm⁻³
SG = R-3 (148)
Volume = 397 Å³ per cell

[8]
The following is a DFT calculation (PBE) of a geometry-optimized Th3FeSn structure.

Cell: 5.217 5.217 5.217 Å, 90.00 90.00 90.00°
Sites, in units of the cell vectors:
Fe: 0.000 0.000 0.000
Th: 0.500 0.000 0.000
Th: 0.000 0.000 0.500
Th: 0.000 0.500 0.000
Sn: 0.500 0.500 0.500

DOS at the Fermi energy = 0.945 states/eV per atom
DFT total energy = -0.2656 hartree per atom
Density = 10.2 g cm⁻³
E_form = -0.28 eV/atom
E above lowest polymorph = 52 meV/atom
SG = Pm-3m (221)
Volume = 142 Å³ per cell

[9]
The following is a DFT calculation (PBE) of a geometry-optimized PaTa2C structure.

Cell: 3.115 3.115 8.537 Å, 79.49 79.49 60.00°
Sites, in units of the cell vectors:
Ta: 0.883 0.883 0.352
Ta: 0.117 0.117 0.648
Pa: 0.000 0.000 0.000
C: 0.500 0.500 0.500

DOS at the Fermi energy = 1.524 states/eV per atom
DFT total energy = -0.3880 hartree per atom
Density = 14.3 g cm⁻³
E_form = 0.05 eV/atom
SG = R-3m (166)
Volume = 70 Å³ per cell

[10]
The following is a DFT calculation (PBE) of a geometry-optimized Al2PtN structure.

Cell: 5.576 5.576 5.363 Å, 58.67 58.67 90.00°
Sites, in units of the cell vectors:
Al: 0.537 0.125 0.250
Al: 0.375 0.463 0.750
Al: 0.213 0.625 0.250
Al: 0.875 0.787 0.750
N: 0.500 0.500 0.000
N: 0.250 0.750 0.500
Pt: 0.000 0.000 0.000
Pt: 0.750 0.250 0.500

DOS at the Fermi energy = 0.455 states/eV per atom
DFT total energy = -0.2291 hartree per atom
Density = 7.7 g cm⁻³
SG = I-42d (122)
Volume = 113 Å³ per cell